Record 1
! Si2MoSe PBE-GGA optimized geometry; values from VASP
&SYSTEM
  ibrav = 0, nat = 8, ntyp = 3
/
ATOMIC_SPECIES
Si 28.09 Si.upf
Mo 95.94 Mo.upf
Se 78.96 Se.upf
ATOMIC_POSITIONS crystal
Si 0.000 0.000 0.000
Si 0.000 0.500 0.500
Si 0.500 0.000 0.450
Si 0.500 0.500 0.950
Mo 0.500 0.000 0.156
Mo 0.500 0.500 0.656
Se 0.000 0.000 0.748
Se 0.000 0.500 0.248
CELL_PARAMETERS angstrom
4.054 0.000 0.000
0.000 3.353 0.000
0.000 0.000 9.509
! - ΔE_f (raw) (eV per atom) = 0.079
! - space-group type = Amm2


Record 2
! SiMoSe PBE-GGA optimized geometry; values from VASP
&SYSTEM
  ibrav = 0, nat = 12, ntyp = 3
/
ATOMIC_SPECIES
Si 28.09 Si.upf
Mo 95.94 Mo.upf
Se 78.96 Se.upf
ATOMIC_POSITIONS crystal
Si 0.000 0.000 0.000
Si 0.000 0.500 0.500
Si 0.500 0.000 0.500
Si 0.500 0.500 0.000
Mo 0.250 0.250 0.750
Mo 0.250 0.750 0.250
Mo 0.750 0.250 0.250
Mo 0.750 0.750 0.750
Se 0.250 0.250 0.250
Se 0.250 0.750 0.750
Se 0.750 0.250 0.750
Se 0.750 0.750 0.250
CELL_PARAMETERS angstrom
6.017 0.000 0.000
0.000 6.017 0.000
0.000 0.000 6.017
! - ΔE_f (raw) (eV per atom) = 0.650
! - distance to the lowest polymorph of the same formula (eV/f.u.) = 2.92
! - space-group type = F-43m


Record 3
! Si2MoSe PBE-GGA optimized geometry; values from VASP
&SYSTEM
  ibrav = 0, nat = 16, ntyp = 3
/
ATOMIC_SPECIES
Si 28.09 Si.upf
Mo 95.94 Mo.upf
Se 78.96 Se.upf
ATOMIC_POSITIONS crystal
Si 0.000 0.000 0.000
Si 0.000 0.500 0.500
Si 0.250 0.250 0.250
Si 0.250 0.750 0.750
Si 0.500 0.000 0.500
Si 0.500 0.500 0.000
Si 0.750 0.250 0.750
Si 0.750 0.750 0.250
Mo 0.000 0.000 0.500
Mo 0.000 0.500 0.000
Mo 0.500 0.000 0.000
Mo 0.500 0.500 0.500
Se 0.250 0.250 0.750
Se 0.250 0.750 0.250
Se 0.750 0.250 0.250
Se 0.750 0.750 0.750
CELL_PARAMETERS angstrom
6.276 0.000 0.000
0.000 6.276 0.000
0.000 0.000 6.276
! - ΔE_f (raw) (eV per atom) = 0.465
! - space-group type = F-43m


Record 4
! SiMoSe3 PBE-GGA optimized geometry; values from VASP
&SYSTEM
  ibrav = 0, nat = 5, ntyp = 3
/
ATOMIC_SPECIES
Si 28.09 Si.upf
Mo 95.94 Mo.upf
Se 78.96 Se.upf
ATOMIC_POSITIONS crystal
Si 0.000 0.000 0.000
Mo 0.500 0.500 0.500
Se 0.000 0.500 0.500
Se 0.500 0.000 0.500
Se 0.500 0.500 0.000
CELL_PARAMETERS angstrom
4.939 0.000 0.000
0.000 4.939 0.000
0.000 0.000 4.939
! - ΔE_f (raw) (eV per atom) = 0.537
! - distance to the lowest polymorph of the same formula (eV/f.u.) = 0.00
! - space-group type = Pm-3m


Record 5
! Si4MoSe PBE-GGA optimized geometry; values from VASP
&SYSTEM
  ibrav = 0, nat = 6, ntyp = 3
/
ATOMIC_SPECIES
Si 28.09 Si.upf
Mo 95.94 Mo.upf
Se 78.96 Se.upf
ATOMIC_POSITIONS crystal
Si 0.376 0.376 0.376
Si 0.376 0.376 0.873
Si 0.376 0.873 0.376
Si 0.873 0.376 0.376
Mo 0.000 0.000 0.000
Se 0.750 0.750 0.750
CELL_PARAMETERS angstrom
0.000 3.570 3.570
3.570 0.000 3.570
3.570 3.570 0.000
! - ΔE_f (raw) (eV per atom) = 0.574
! - space-group type = F-43m


Record 6
! Si2MoSe PBE-GGA optimized geometry; values from VASP
&SYSTEM
  ibrav = 0, nat = 8, ntyp = 3
/
ATOMIC_SPECIES
Si 28.09 Si.upf
Mo 95.94 Mo.upf
Se 78.96 Se.upf
ATOMIC_POSITIONS crystal
Si 0.250 0.250 0.000
Si 0.250 0.750 0.000
Si 0.750 0.250 0.000
Si 0.750 0.750 0.000
Mo 0.000 0.000 0.500
Mo 0.500 0.500 0.500
Se 0.000 0.500 0.500
Se 0.500 0.000 0.500
CELL_PARAMETERS angstrom
5.529 0.000 0.000
0.000 7.464 0.000
0.000 0.000 2.978
! - ΔE_f (raw) (eV per atom) = 0.364
! - space-group type = Cmmm


These records have calculated density values of 5937, 6190, 6208, 4973, 5240, 6244 kg/m3, in the order they appear.
These records have M_tot values of 0.0, 0.0, 0.0, 1.0, 0.0, 0.0 μB per formula unit, in the order they appear.